[1]
## Ag5Pt4 (PBEsol)

Data for a relaxed structure of Ag5Pt4.

Cell and atoms, written as CIF:
```
data_Ag5Pt4
_cell_length_a 4.853
_cell_length_b 4.858
_cell_length_c 7.442
_cell_angle_alpha 89.97
_cell_angle_beta 71.17
_cell_angle_gamma 60.08
_symmetry_space_group_name_H-M 'P 1'
_symmetry_Int_Tables_number 1
loop_
_symmetry_equiv_pos_as_xyz
'x,y,z'
loop_
_atom_site_label
_atom_site_fract_x
_atom_site_fract_y
_atom_site_fract_z
Ag1 0.000 0.000 0.000
Ag2 0.330 0.339 0.000
Ag3 0.447 0.109 0.332
Ag4 0.553 0.891 0.668
Ag5 0.670 0.661 0.000
Pt1 0.113 0.778 0.336
Pt2 0.222 0.558 0.663
Pt3 0.778 0.442 0.337
Pt4 0.887 0.222 0.664
```

Properties
DFT total energy: -4.906 eV per atom
symmetry: No. 2
magnetic moment: 0.0001 μB/atom
crystal system: triclinic
energy of formation: 0.028 eV per atom

[2]
## AgPt4 (PBEsol)

Data for a relaxed structure of AgPt4.

Cell and atoms, written as CIF:
```
data_AgPt4
_cell_length_a 4.826
_cell_length_b 4.826
_cell_length_c 4.826
_cell_angle_alpha 99.36
_cell_angle_beta 99.36
_cell_angle_gamma 132.43
_symmetry_space_group_name_H-M 'P 1'
_symmetry_Int_Tables_number 1
loop_
_symmetry_equiv_pos_as_xyz
'x,y,z'
loop_
_atom_site_label
_atom_site_fract_x
_atom_site_fract_y
_atom_site_fract_z
Ag1 0.000 0.000 0.000
Pt1 0.197 0.603 0.800
Pt2 0.397 0.197 0.594
Pt3 0.603 0.803 0.406
Pt4 0.803 0.397 0.200
```

Properties
DFT total energy: -6.194 eV per atom
symmetry: No. 87
magnetic moment: 0.0006 μB/atom
crystal system: tetragonal
energy of formation: 0.039 eV per atom

[3]
## AgPt (PBEsol)

Data for a relaxed structure of AgPt.

Cell and atoms, written as CIF:
```
data_AgPt
_cell_length_a 8.455
_cell_length_b 8.455
_cell_length_c 8.455
_cell_angle_alpha 152.94
_cell_angle_beta 152.94
_cell_angle_gamma 38.64
_symmetry_space_group_name_H-M 'P 1'
_symmetry_Int_Tables_number 1
loop_
_symmetry_equiv_pos_as_xyz
'x,y,z'
loop_
_atom_site_label
_atom_site_fract_x
_atom_site_fract_y
_atom_site_fract_z
Ag1 0.126 0.126 0.000
Ag2 0.250 0.750 0.500
Ag3 0.750 0.250 0.500
Ag4 0.874 0.874 0.000
Pt1 0.000 0.500 0.500
Pt2 0.380 0.380 0.000
Pt3 0.500 0.000 0.500
Pt4 0.620 0.620 0.000
```

Properties
DFT total energy: -5.099 eV per atom
symmetry: No. 139
magnetic moment: 0.0001 μB/atom
crystal system: tetragonal
energy of formation: 0.038 eV per atom

[4]
## AgPt4 (PBEsol)

Data for a relaxed structure of AgPt4.

Cell and atoms, written as CIF:
```
data_AgPt4
_cell_length_a 10.180
_cell_length_b 10.180
_cell_length_c 10.180
_cell_angle_alpha 164.42
_cell_angle_beta 164.42
_cell_angle_gamma 22.11
_symmetry_space_group_name_H-M 'P 1'
_symmetry_Int_Tables_number 1
loop_
_symmetry_equiv_pos_as_xyz
'x,y,z'
loop_
_atom_site_label
_atom_site_fract_x
_atom_site_fract_y
_atom_site_fract_z
Ag1 0.000 0.000 0.000
Pt1 0.201 0.201 0.000
Pt2 0.396 0.396 0.000
Pt3 0.604 0.604 0.000
Pt4 0.799 0.799 0.000
```

Properties
DFT total energy: -6.210 eV per atom
symmetry: No. 139
magnetic moment: 0.0003 μB/atom
crystal system: tetragonal
energy of formation: 0.023 eV per atom